(1)
Li2FeSiO4 at its PBEsol-relaxed geometry. Source: the Alexandria database, functional SCAN.

Summary:
Mass density   3.22 g/cm3
Energy above the lowest structure with this stoichiometry   0.004 eV per atom
Total magnetic moment   4.00 μB/f.u.
Formation energy (no corrections)   -2406 meV per atom
Total DFT energy (no corrections)   -9.64 eV/atom
Space-group type   Pnma, No. 62

a b c (Å): 5.075 6.252 10.534
angles (deg): 90.00 90.00 90.00
Site moments in Bohr magnetons follow the coordinates.
Fractional coordinates of all 32 atoms:
Li 0.791 0.510 0.828  0.00
Li 0.709 0.510 0.328  0.00
Li 0.791 0.990 0.828  0.00
Li 0.709 0.990 0.328  0.00
Li 0.291 0.010 0.672  0.00
Li 0.209 0.010 0.172  0.00
Li 0.209 0.490 0.172  0.00
Li 0.291 0.490 0.672  0.00
Fe 0.310 0.250 0.421  3.58
Fe 0.810 0.750 0.079  3.58
Fe 0.190 0.250 0.921  3.58
Fe 0.690 0.750 0.579  3.58
Si 0.800 0.250 0.579  0.01
Si 0.700 0.250 0.079  0.01
Si 0.300 0.750 0.921  0.01
Si 0.200 0.750 0.421  0.01
O 0.125 0.250 0.586  0.06
O 0.375 0.250 0.086  0.06
O 0.625 0.750 0.914  0.06
O 0.875 0.750 0.414  0.06
O 0.787 0.250 0.929  0.06
O 0.713 0.250 0.429  0.06
O 0.287 0.750 0.571  0.06
O 0.213 0.750 0.071  0.06
O 0.689 0.464 0.654  0.06
O 0.811 0.464 0.154  0.06
O 0.689 0.036 0.654  0.06
O 0.811 0.036 0.154  0.06
O 0.311 0.964 0.346  0.06
O 0.189 0.964 0.846  0.06
O 0.189 0.536 0.846  0.06
O 0.311 0.536 0.346  0.06



(2)
LiFeSiO4 at its PBEsol-relaxed geometry. Source: the Alexandria database, functional SCAN.

Summary:
Mass density   2.59 g/cm3
Energy above the lowest structure with this stoichiometry   0.060 eV per atom
Total magnetic moment   5.00 μB/f.u.
Formation energy (no corrections)   -2366 meV per atom
Total DFT energy (no corrections)   -10.29 eV/atom
Space-group type   P6_422, No. 181

a b c (Å): 5.355 5.355 12.012
angles (deg): 90.00 90.00 120.00
Site moments in Bohr magnetons follow the coordinates.
Fractional coordinates of all 21 atoms:
Li 0.000 0.000 0.000  0.00
Li 0.000 0.000 0.667  0.00
Li 0.000 0.000 0.333  0.00
Fe 0.000 0.500 0.167  4.12
Fe 0.500 0.000 0.833  4.12
Fe 0.500 0.500 0.500  4.12
Si 0.000 0.500 0.667  0.04
Si 0.500 0.000 0.333  0.04
Si 0.500 0.500 0.000  0.04
O 0.814 0.605 0.592  0.16
O 0.791 0.605 0.075  0.16
O 0.814 0.209 0.741  0.16
O 0.791 0.186 0.259  0.16
O 0.395 0.209 0.925  0.16
O 0.395 0.186 0.408  0.16
O 0.605 0.814 0.408  0.16
O 0.605 0.791 0.925  0.16
O 0.209 0.814 0.259  0.16
O 0.186 0.791 0.741  0.16
O 0.209 0.395 0.075  0.16
O 0.186 0.395 0.592  0.16



(3)
Li2FeSiO4 at its PBEsol-relaxed geometry. Source: the Alexandria database, functional SCAN.

Summary:
Mass density   3.28 g/cm3
Energy above the lowest structure with this stoichiometry   0.030 eV per atom
Total magnetic moment   4.00 μB/f.u.
Formation energy (no corrections)   -2380 meV per atom
Total DFT energy (no corrections)   -9.61 eV/atom
Space-group type   P2_1, No. 4

a b c (Å): 4.846 5.355 6.310
angles (deg): 89.17 90.00 90.00
Site moments in Bohr magnetons follow the coordinates.
Fractional coordinates of all 16 atoms:
Li 0.500 0.159 0.997  0.00
Li 0.000 0.841 0.003  0.00
Li 0.007 0.345 0.238  0.00
Li 0.507 0.655 0.762  0.00
Fe 0.025 0.846 0.513  3.57
Fe 0.525 0.154 0.487  3.57
Si 0.995 0.336 0.763  0.01
Si 0.495 0.664 0.237  0.01
O 0.114 0.202 0.542  0.11
O 0.614 0.798 0.458  0.11
O 0.103 0.190 0.973  0.01
O 0.603 0.810 0.027  0.01
O 0.656 0.322 0.745  0.06
O 0.156 0.678 0.255  0.06
O 0.597 0.369 0.244  0.08
O 0.097 0.631 0.756  0.08



(4)
Li2FeSi3O8 at its PBEsol-relaxed geometry. Source: the Alexandria database, functional SCAN.

Summary:
Mass density   2.74 g/cm3
Energy above the lowest structure with this stoichiometry   0.015 eV per atom
Total magnetic moment   4.00 μB/f.u.
Formation energy (no corrections)   -2606 meV per atom
Total DFT energy (no corrections)   -9.95 eV/atom
Space-group type   P1, No. 1

a b c (Å): 5.043 6.087 6.162
angles (deg): 75.85 71.61 75.32
Site moments in Bohr magnetons follow the coordinates.
Fractional coordinates of all 14 atoms:
Li 0.749 0.855 0.351  0.00
Li 0.224 0.136 0.676  0.00
Fe 0.342 0.638 0.702  3.63
Si 0.702 0.818 0.879  0.01
Si 0.668 0.392 0.251  0.01
Si 0.273 0.190 0.120  0.01
O 0.016 0.875 0.813  0.06
O 0.936 0.162 0.247  0.00
O 0.563 0.890 0.664  0.06
O 0.653 0.542 0.435  0.05
O 0.295 0.332 0.862  0.06
O 0.716 0.540 0.987  0.00
O 0.491 0.939 0.107  0.00
O 0.372 0.289 0.306  0.00



(5)
LiFeSiO4 at its PBEsol-relaxed geometry. Source: the Alexandria database, functional SCAN.

Summary:
Mass density   4.35 g/cm3
Energy above the lowest structure with this stoichiometry   0.094 eV per atom
Total magnetic moment   1.00 μB/f.u.
Formation energy (no corrections)   -2331 meV per atom
Total DFT energy (no corrections)   -10.25 eV/atom
Space-group type   P4_322, No. 95

a b c (Å): 5.521 5.521 7.754
angles (deg): 90.00 90.00 90.00
Site moments in Bohr magnetons follow the coordinates.
Fractional coordinates of all 28 atoms:
Li 0.500 0.734 0.000  0.00
Li 0.500 0.266 0.500  0.00
Li 0.734 0.500 0.250  0.00
Li 0.266 0.500 0.750  0.00
Fe 0.000 0.252 0.500  0.93
Fe 0.252 0.000 0.750  0.93
Fe 0.748 0.000 0.250  0.93
Fe 0.000 0.748 0.000  0.93
Si 0.751 0.751 0.625  0.00
Si 0.751 0.249 0.875  0.00
Si 0.249 0.751 0.375  0.00
Si 0.249 0.249 0.125  0.00
O 0.498 0.763 0.261  0.02
O 0.498 0.237 0.239  0.02
O 0.763 0.498 0.989  0.02
O 0.763 0.502 0.511  0.02
O 0.237 0.502 0.489  0.02
O 0.237 0.498 0.011  0.02
O 0.502 0.763 0.739  0.02
O 0.502 0.237 0.761  0.02
O 0.761 0.997 0.497  0.01
O 0.761 0.003 0.003  0.01
O 0.003 0.761 0.247  0.01
O 0.003 0.239 0.253  0.01
O 0.997 0.761 0.753  0.01
O 0.997 0.239 0.747  0.01
O 0.239 0.997 0.503  0.01
O 0.239 0.003 0.997  0.01



(6)
LiFeSiO4 at its PBEsol-relaxed geometry. Source: the Alexandria database, functional SCAN.

Summary:
Mass density   2.98 g/cm3
Energy above the lowest structure with this stoichiometry   0.097 eV per atom
Total magnetic moment   5.00 μB/f.u.
Formation energy (no corrections)   -2328 meV per atom
Total DFT energy (no corrections)   -10.25 eV/atom
Space-group type   Pna2_1, No. 33

a b c (Å): 4.907 7.807 9.025
angles (deg): 90.00 90.00 90.00
Site moments in Bohr magnetons follow the coordinates.
Fractional coordinates of all 28 atoms:
Li 0.942 0.050 0.607  0.00
Li 0.442 0.450 0.107  0.00
Li 0.942 0.550 0.893  0.00
Li 0.442 0.950 0.393  0.00
Fe 0.010 0.177 0.018  4.13
Fe 0.510 0.323 0.518  4.13
Fe 0.010 0.677 0.482  4.13
Fe 0.510 0.823 0.982  4.13
Si 0.559 0.221 0.856  0.02
Si 0.059 0.279 0.356  0.02
Si 0.559 0.721 0.644  0.02
Si 0.059 0.779 0.144  0.02
O 0.672 0.046 0.938  0.19
O 0.220 0.139 0.461  0.11
O 0.230 0.246 0.861  0.19
O 0.659 0.212 0.684  0.17
O 0.159 0.288 0.184  0.17
O 0.730 0.254 0.361  0.19
O 0.720 0.361 0.961  0.11
O 0.172 0.454 0.438  0.19
O 0.672 0.546 0.562  0.19
O 0.220 0.639 0.039  0.11
O 0.230 0.746 0.639  0.19
O 0.659 0.712 0.816  0.17
O 0.159 0.788 0.316  0.17
O 0.730 0.754 0.139  0.19
O 0.720 0.861 0.539  0.11
O 0.172 0.954 0.062  0.19



(7)
LiFeSiO4 at its PBEsol-relaxed geometry. Source: the Alexandria database, functional SCAN.

Summary:
Mass density   3.07 g/cm3
Energy above the lowest structure with this stoichiometry   0.000 eV per atom
Total magnetic moment   5.00 μB/f.u.
Formation energy (no corrections)   -2426 meV per atom
Total DFT energy (no corrections)   -10.35 eV/atom
Space-group type   R3, No. 146

a b c (Å): 8.516 8.516 8.516
angles (deg): 107.80 107.80 107.80
Site moments in Bohr magnetons follow the coordinates.
Fractional coordinates of all 42 atoms:
Li 0.127 0.724 0.894  0.00
Li 0.210 0.607 0.436  0.00
Li 0.436 0.210 0.607  0.00
Li 0.894 0.127 0.724  0.00
Li 0.607 0.436 0.210  0.00
Li 0.724 0.894 0.127  0.00
Fe 0.055 0.232 0.458  4.09
Fe 0.535 0.945 0.769  4.10
Fe 0.769 0.535 0.945  4.10
Fe 0.232 0.458 0.055  4.09
Fe 0.458 0.055 0.232  4.09
Fe 0.945 0.769 0.535  4.10
Si 0.280 0.098 0.871  0.03
Si 0.388 0.567 0.797  0.03
Si 0.098 0.871 0.280  0.03
Si 0.567 0.797 0.388  0.03
Si 0.797 0.388 0.567  0.03
Si 0.871 0.280 0.098  0.03
O 0.305 0.976 0.986  0.16
O 0.062 0.009 0.726  0.16
O 0.263 0.579 0.910  0.17
O 0.406 0.088 0.759  0.17
O 0.602 0.636 0.939  0.16
O 0.301 0.357 0.635  0.16
O 0.088 0.759 0.406  0.17
O 0.378 0.703 0.696  0.17
O 0.020 0.352 0.310  0.17
O 0.009 0.726 0.062  0.16
O 0.310 0.020 0.352  0.17
O 0.696 0.378 0.703  0.17
O 0.986 0.305 0.976  0.16
O 0.636 0.939 0.602  0.16
O 0.357 0.635 0.301  0.16
O 0.635 0.301 0.357  0.16
O 0.939 0.602 0.636  0.16
O 0.579 0.910 0.263  0.17
O 0.703 0.696 0.378  0.17
O 0.352 0.310 0.020  0.17
O 0.910 0.263 0.579  0.17
O 0.976 0.986 0.305  0.16
O 0.759 0.406 0.088  0.17
O 0.726 0.062 0.009  0.16



(8)
LiFeSiO4 at its PBEsol-relaxed geometry. Source: the Alexandria database, functional SCAN.

Summary:
Mass density   3.00 g/cm3
Energy above the lowest structure with this stoichiometry   0.033 eV per atom
Total magnetic moment   5.00 μB/f.u.
Formation energy (no corrections)   -2393 meV per atom
Total DFT energy (no corrections)   -10.32 eV/atom
Space-group type   C222_1, No. 20

a b c (Å): 5.105 5.105 6.583
angles (deg): 90.00 90.00 90.87
Site moments in Bohr magnetons follow the coordinates.
Fractional coordinates of all 14 atoms:
Li 0.808 0.192 0.750  0.00
Li 0.192 0.808 0.250  0.00
Fe 0.817 0.183 0.250  4.09
Fe 0.183 0.817 0.750  4.09
Si 0.678 0.678 0.500  0.03
Si 0.322 0.322 0.000  0.03
O 0.637 0.266 0.012  0.16
O 0.734 0.363 0.488  0.16
O 0.266 0.637 0.988  0.16
O 0.363 0.734 0.512  0.16
O 0.821 0.802 0.702  0.17
O 0.802 0.821 0.298  0.17
O 0.198 0.179 0.798  0.17
O 0.179 0.198 0.202  0.17



(9)
Li6FeSi2O8 at its PBEsol-relaxed geometry. Source: the Alexandria database, functional SCAN.

Summary:
Mass density   2.84 g/cm3
Total magnetic moment   4.00 μB/f.u.
Formation energy (no corrections)   -2433 meV per atom
Total DFT energy (no corrections)   -8.45 eV/atom
Space-group type   P-1, No. 2

a b c (Å): 5.033 5.420 6.171
angles (deg): 88.51 78.76 85.57
Site moments in Bohr magnetons follow the coordinates.
Fractional coordinates of all 17 atoms:
Li 0.844 0.599 0.189  0.00
Li 0.156 0.401 0.811  0.00
Li 0.387 0.746 0.965  0.00
Li 0.613 0.254 0.035  0.00
Li 0.231 0.633 0.388  0.00
Li 0.769 0.367 0.612  0.00
Fe 0.500 0.000 0.500  3.64
Si 0.880 0.799 0.721  0.00
Si 0.120 0.201 0.279  0.00
O 0.213 0.786 0.703  0.05
O 0.787 0.214 0.297  0.05
O 0.301 0.940 0.222  0.04
O 0.699 0.060 0.778  0.04
O 0.816 0.712 0.481  0.04
O 0.184 0.288 0.519  0.04
O 0.768 0.579 0.898  0.00
O 0.232 0.421 0.102  0.00



(10)
Li2FeSiO4 at its PBEsol-relaxed geometry. Source: the Alexandria database, functional SCAN.

Summary:
Mass density   3.24 g/cm3
Energy above the lowest structure with this stoichiometry   0.036 eV per atom
Total magnetic moment   4.00 μB/f.u.
Formation energy (no corrections)   -2374 meV per atom
Total DFT energy (no corrections)   -9.61 eV/atom
Space-group type   P2_1/c, No. 14

a b c (Å): 4.906 6.364 10.617
angles (deg): 88.51 90.00 90.00
Site moments in Bohr magnetons follow the coordinates.
Fractional coordinates of all 32 atoms:
Li 0.187 0.010 0.173  0.00
Li 0.313 0.010 0.673  0.00
Li 0.310 0.240 0.428  0.00
Li 0.190 0.240 0.928  0.00
Li 0.810 0.760 0.072  0.00
Li 0.690 0.760 0.572  0.00
Li 0.687 0.990 0.327  0.00
Li 0.813 0.990 0.827  0.00
Fe 0.225 0.513 0.179  3.58
Fe 0.725 0.487 0.321  3.58
Fe 0.275 0.513 0.679  3.58
Fe 0.775 0.487 0.821  3.58
Si 0.683 0.236 0.080  0.01
Si 0.817 0.236 0.580  0.01
Si 0.183 0.764 0.420  0.01
Si 0.317 0.764 0.920  0.01
O 0.791 0.026 0.153  0.01
O 0.709 0.026 0.653  0.01
O 0.349 0.259 0.093  0.06
O 0.729 0.243 0.430  0.09
O 0.151 0.259 0.593  0.06
O 0.820 0.450 0.144  0.11
O 0.771 0.243 0.930  0.09
O 0.680 0.450 0.644  0.11
O 0.320 0.550 0.356  0.11
O 0.229 0.757 0.070  0.09
O 0.180 0.550 0.856  0.11
O 0.849 0.741 0.407  0.06
O 0.271 0.757 0.570  0.09
O 0.651 0.741 0.907  0.06
O 0.291 0.974 0.347  0.01
O 0.209 0.974 0.847  0.01



(11)
LiFeSiO4 at its PBEsol-relaxed geometry. Source: the Alexandria database, functional SCAN.

Summary:
Mass density   3.05 g/cm3
Energy above the lowest structure with this stoichiometry   0.047 eV per atom
Total magnetic moment   5.00 μB/f.u.
Formation energy (no corrections)   -2379 meV per atom
Total DFT energy (no corrections)   -10.30 eV/atom
Space-group type   P2_1/c, No. 14

a b c (Å): 5.017 6.362 10.565
angles (deg): 90.00 90.00 90.76
Site moments in Bohr magnetons follow the coordinates.
Fractional coordinates of all 28 atoms:
Li 0.670 0.973 0.341  0.00
Li 0.830 0.527 0.841  0.00
Li 0.170 0.473 0.159  0.00
Li 0.330 0.027 0.659  0.00
Fe 0.672 0.210 0.085  4.08
Fe 0.828 0.290 0.585  4.08
Fe 0.172 0.710 0.415  4.08
Fe 0.328 0.790 0.915  4.08
Si 0.665 0.469 0.328  0.02
Si 0.835 0.031 0.828  0.02
Si 0.165 0.969 0.172  0.02
Si 0.335 0.531 0.672  0.02
O 0.697 0.818 0.890  0.16
O 0.659 0.502 0.674  0.18
O 0.722 0.059 0.683  0.17
O 0.736 0.261 0.414  0.15
O 0.764 0.239 0.914  0.15
O 0.778 0.441 0.183  0.17
O 0.841 0.998 0.174  0.18
O 0.803 0.682 0.390  0.16
O 0.197 0.318 0.610  0.16
O 0.159 0.002 0.826  0.18
O 0.222 0.559 0.817  0.17
O 0.236 0.761 0.086  0.15
O 0.264 0.739 0.586  0.15
O 0.278 0.941 0.317  0.17
O 0.341 0.498 0.326  0.18
O 0.303 0.182 0.110  0.16



(12)
LiFeSiO4 at its PBEsol-relaxed geometry. Source: the Alexandria database, functional SCAN.

Summary:
Mass density   3.02 g/cm3
Energy above the lowest structure with this stoichiometry   0.091 eV per atom
Total magnetic moment   5.00 μB/f.u.
Formation energy (no corrections)   -2334 meV per atom
Total DFT energy (no corrections)   -10.26 eV/atom
Space-group type   Pbca, No. 61

a b c (Å): 5.708 7.409 16.114
angles (deg): 90.00 90.00 90.00
Site moments in Bohr magnetons follow the coordinates.
Fractional coordinates of all 56 atoms:
Li 0.064 0.272 0.275  0.00
Li 0.564 0.272 0.225  0.00
Li 0.564 0.228 0.725  0.00
Li 0.064 0.228 0.775  0.00
Li 0.436 0.772 0.275  0.00
Li 0.936 0.772 0.225  0.00
Li 0.436 0.728 0.775  0.00
Li 0.936 0.728 0.725  0.00
Fe 0.408 0.182 0.532  4.14
Fe 0.908 0.182 0.968  4.14
Fe 0.408 0.318 0.032  4.14
Fe 0.908 0.318 0.468  4.14
Fe 0.092 0.682 0.532  4.14
Fe 0.592 0.682 0.968  4.14
Fe 0.092 0.818 0.032  4.14
Fe 0.592 0.818 0.468  4.14
Si 0.902 0.041 0.614  0.01
Si 0.402 0.041 0.886  0.01
Si 0.902 0.459 0.114  0.01
Si 0.402 0.459 0.386  0.01
Si 0.598 0.541 0.614  0.01
Si 0.098 0.541 0.886  0.01
Si 0.598 0.959 0.114  0.01
Si 0.098 0.959 0.386  0.01
O 0.844 0.982 0.058  0.23
O 0.344 0.982 0.442  0.23
O 0.355 0.127 0.798  0.03
O 0.855 0.127 0.702  0.03
O 0.468 0.156 0.120  0.18
O 0.968 0.156 0.380  0.18
O 0.068 0.172 0.552  0.22
O 0.568 0.172 0.948  0.22
O 0.068 0.328 0.052  0.22
O 0.568 0.328 0.448  0.22
O 0.468 0.344 0.620  0.18
O 0.968 0.344 0.880  0.18
O 0.855 0.373 0.202  0.03
O 0.355 0.373 0.298  0.03
O 0.844 0.518 0.558  0.23
O 0.344 0.518 0.942  0.23
O 0.156 0.482 0.442  0.23
O 0.656 0.482 0.058  0.23
O 0.645 0.627 0.702  0.03
O 0.145 0.627 0.798  0.03
O 0.032 0.656 0.120  0.18
O 0.532 0.656 0.380  0.18
O 0.432 0.672 0.552  0.22
O 0.932 0.672 0.948  0.22
O 0.432 0.828 0.052  0.22
O 0.932 0.828 0.448  0.22
O 0.032 0.844 0.620  0.18
O 0.532 0.844 0.880  0.18
O 0.645 0.873 0.202  0.03
O 0.145 0.873 0.298  0.03
O 0.656 0.018 0.558  0.23
O 0.156 0.018 0.942  0.23